[1]
The following is a PBE calculation of a relaxed structure of KLuAsO, from OQMD via LeMat-Bulk.

total magnetization = 0.00 μB/f.u.
total DFT energy (no corrections) = -43.2 eV per cell
offset from the most stable computed form = 0.039 eV/atom

Unit cell a=4.8303 b=6.8305 c=5.9571 alpha=90.00 beta=90.00 gamma=90.00
With the nearest neighbours (Å) after each atom.
Space group Pmc2_1 (No. 26)
One atom of each set of equivalent atoms:
K: 0.0000 0.1387 0.0000 [2 per cell]  4 O 2.95-3.03, 1 As 2.98
Lu: 0.5000 0.2073 0.5016 [2 per cell]  2 O 2.06
As: 0.0000 0.4246 0.4838 [2 per cell]  2 Lu 2.84, 1 K 2.98, 2 As 3.15
O: 0.5000 0.0067 0.7589 [2 per cell]  2 Lu 2.06



[2]
The following is a PBE calculation of a relaxed structure of KLuAsO, from OQMD via LeMat-Bulk.

total magnetization = 0.00 μB/f.u.
total DFT energy (no corrections) = -42.3 eV per cell
offset from the most stable computed form = 0.151 eV/atom

Unit cell a=3.9533 b=3.9533 c=10.7398 alpha=90.00 beta=90.00 gamma=90.00
With the nearest neighbours (Å) after each atom.
Space group P4/nmm (No. 129, origin choice 2)
One atom of each set of equivalent atoms:
K: 0.2500 0.7500 0.0000 [2 per cell]  4 K 2.80
Lu: 0.2500 0.2500 0.4081 [2 per cell]  4 O 2.21
As: 0.2500 0.2500 0.7664 [2 per cell]  4 K 3.19, 4 Lu 3.37, 4 O 3.48
O: 0.2500 0.7500 0.5000 [2 per cell]  4 Lu 2.21



[3]
The following is a PBE calculation of a relaxed structure of KLuAsO, from OQMD via LeMat-Bulk.

total magnetization = 0.00 μB/f.u.
total DFT energy (no corrections) = -37.9 eV per cell
offset from the most stable computed form = 0.708 eV/atom

Unit cell a=5.7194 b=5.7194 c=5.1264 alpha=90.00 beta=90.00 gamma=90.00
With the nearest neighbours (Å) after each atom.
Space group P4/nmm (No. 129, origin choice 2)
One atom of each set of equivalent atoms:
K: 0.2500 0.2500 0.0028 [2 per cell]  2 As 2.56, 4 O 2.86
Lu: 0.2500 0.7500 0.5000 [2 per cell]  2 O 2.56, 4 As 2.86
As: 0.2500 0.2500 0.5031 [2 per cell]  2 K 2.56, 4 Lu 2.86
O: 0.2500 0.7500 0.0000 [2 per cell]  2 Lu 2.56, 4 K 2.86



[4]
The following is a PBE calculation of a relaxed structure of KLuAsS3, from OQMD via LeMat-Bulk.

total magnetization = 0.00 μB/f.u.
total DFT energy (no corrections) = -116.4 eV per cell

Unit cell a=4.1327 b=15.2801 c=10.6932 alpha=90.00 beta=90.00 gamma=90.00
With the nearest neighbours (Å) after each atom.
Space group Cmcm (No. 63)
One atom of each set of equivalent atoms:
K: 0.0000 0.2126 0.2500 [4 per cell]  2 S 3.12
Lu: 0.0000 0.5000 0.0000 [4 per cell]  6 S 2.70-2.71
As: 0.0000 0.1025 0.7500 [4 per cell]  4 S 2.39-2.62
S: 0.0000 0.1146 0.5060 [8 per cell]  1 As 2.62, 2 Lu 2.71
S: 0.0000 0.4757 0.2500 [4 per cell]  2 As 2.39